Record 1
Below is a geometry-optimized BaLiScTe3 structure, with properties calculated at the PBE level.

Unit cell a=7.7715 b=7.7715 c=11.1028 alpha=90.00 beta=90.00 gamma=146.69
Sites, in units of the cell vectors:
Ba 0.2481 0.7519 0.7500
Ba 0.7519 0.2481 0.2500
Li 0.4716 0.5284 0.2500
Li 0.5284 0.4716 0.7500
Sc 0.0000 0.0000 0.0000
Sc 0.0000 0.0000 0.5000
Te 0.0709 0.9291 0.2500
Te 0.3687 0.6313 0.0485
Te 0.3687 0.6313 0.4515
Te 0.6313 0.3687 0.5485
Te 0.6313 0.3687 0.9515
Te 0.9291 0.0709 0.7500

- total moment (Bohr magnetons per cell) = 0.00
- total energy (eV/atom) = -4.64
- SG = Cmcm
- uncorrected formation energy (eV/atom) = -1.37

=====

Record 2
Below is a geometry-optimized Mg2Co2Pd structure, with properties calculated at the PBE level.

Unit cell a=7.9705 b=7.9705 c=7.9705 alpha=156.69 beta=156.69 gamma=33.21
Sites, in units of the cell vectors:
Mg 0.1046 0.1046 0.0000
Mg 0.8954 0.8954 0.0000
Co 0.2500 0.7500 0.5000
Co 0.7500 0.2500 0.5000
Pd 0.5000 0.5000 0.0000

- total moment (Bohr magnetons per cell) = 3.00
- total energy (eV/atom) = -4.57
- SG = I4/mmm
- calculated formation energy (eV per atom) = -0.053

=====

Record 3
Below is a geometry-optimized Li12Mg7In structure, with properties calculated at the PBE level.

Unit cell a=7.4751 b=7.4751 c=7.4751 alpha=93.24 beta=93.24 gamma=93.24
Sites, in units of the cell vectors:
Li 0.0084 0.3566 0.8774
Li 0.1226 0.9916 0.6434
Li 0.2416 0.7546 0.3789
Li 0.2454 0.6211 0.7584
Li 0.3566 0.8774 0.0084
Li 0.3789 0.2416 0.7546
Li 0.6211 0.7584 0.2454
Li 0.6434 0.1226 0.9916
Li 0.7546 0.3789 0.2416
Li 0.7584 0.2454 0.6211
Li 0.8774 0.0084 0.3566
Li 0.9916 0.6434 0.1226
Mg 0.0000 0.0000 0.0000
Mg 0.1139 0.3483 0.4380
Mg 0.3483 0.4380 0.1139
Mg 0.4380 0.1139 0.3483
Mg 0.5620 0.8861 0.6517
Mg 0.6517 0.5620 0.8861
Mg 0.8861 0.6517 0.5620
In 0.5000 0.5000 0.5000

- total moment (Bohr magnetons per cell) = 0.00
- total energy (eV/atom) = -1.86
- SG = R-3
- calculated formation energy (eV per atom) = -0.020

=====

Record 4
Below is a geometry-optimized LiTb3Pu4S8 structure, with properties calculated at the PBE level.

Unit cell a=7.8751 b=7.8751 c=7.8751 alpha=59.90 beta=59.90 gamma=59.90
Sites, in units of the cell vectors:
Li 0.0000 0.0000 0.0000
Tb 0.0000 0.5000 0.5000
Tb 0.5000 0.0000 0.5000
Tb 0.5000 0.5000 0.0000
Pu 0.0000 0.0000 0.5000
Pu 0.0000 0.5000 0.0000
Pu 0.5000 0.0000 0.0000
Pu 0.5000 0.5000 0.5000
S 0.2464 0.2464 0.7518
S 0.2464 0.7518 0.2464
S 0.2482 0.7536 0.7536
S 0.2504 0.2504 0.2504
S 0.7496 0.7496 0.7496
S 0.7518 0.2464 0.2464
S 0.7536 0.2482 0.7536
S 0.7536 0.7536 0.2482

- total moment (Bohr magnetons per cell) = 22.75
- total energy (eV/atom) = -8.48
- SG = R-3m
- uncorrected formation energy (eV/atom) = -1.84

=====

Record 5
Below is a geometry-optimized CdSb2Pb8 structure, with properties calculated at the PBE level.

Unit cell a=9.5170 b=9.5170 c=6.1204 alpha=107.88 beta=107.88 gamma=42.61
Sites, in units of the cell vectors:
Cd 0.0000 0.0000 0.0000
Sb 0.1638 0.1638 0.8805
Sb 0.8362 0.8362 0.1195
Pb 0.1778 0.6603 0.5733
Pb 0.2449 0.2449 0.4500
Pb 0.3397 0.8222 0.4267
Pb 0.3577 0.3577 0.0361
Pb 0.6423 0.6423 0.9639
Pb 0.6603 0.1778 0.5733
Pb 0.7551 0.7551 0.5500
Pb 0.8222 0.3397 0.4267

- total moment (Bohr magnetons per cell) = 0.00
- total energy (eV/atom) = -3.44
- SG = C2/m
- uncorrected formation energy (eV/atom) = 0.09

=====

Record 6
Below is a geometry-optimized La4Te3Br4 structure, with properties calculated at the PBE level.

Unit cell a=10.4047 b=10.4047 c=10.4047 alpha=157.05 beta=128.00 gamma=57.55
Sites, in units of the cell vectors:
La 0.2261 0.0000 0.2261
La 0.2341 0.2341 0.0000
La 0.7659 0.7659 0.0000
La 0.7739 0.0000 0.7739
Te 0.0966 0.5966 0.5000
Te 0.5000 0.5000 0.0000
Te 0.9034 0.4034 0.5000
Br 0.1402 0.8261 0.3141
Br 0.4879 0.1739 0.3141
Br 0.5121 0.8261 0.6859
Br 0.8598 0.1739 0.6859

- total moment (Bohr magnetons per cell) = 0.00
- total energy (eV/atom) = -4.98
- SG = Immm
- uncorrected formation energy (eV/atom) = -1.72

=====

Record 7
Below is a geometry-optimized BeNiTe structure, with properties calculated at the PBE level.

Unit cell a=5.0596 b=5.0596 c=4.2403 alpha=90.00 beta=90.00 gamma=90.00
Sites, in units of the cell vectors:
Be 0.2500 0.2500 0.1186
Be 0.7500 0.7500 0.8814
Ni 0.2500 0.2500 0.6262
Ni 0.7500 0.7500 0.3738
Te 0.2500 0.7500 0.5000
Te 0.7500 0.2500 0.5000

- total moment (Bohr magnetons per cell) = 0.00
- total energy (eV/atom) = -3.82
- SG = P4/nmm
- uncorrected formation energy (eV/atom) = 0.39

=====

Record 8
Below is a geometry-optimized NaGdHg4 structure, with properties calculated at the PBE level.

Unit cell a=6.0057 b=6.0057 c=6.0057 alpha=60.00 beta=60.00 gamma=60.00
Sites, in units of the cell vectors:
Na 0.0000 0.0000 0.0000
Gd 0.2500 0.2500 0.2500
Hg 0.1249 0.6250 0.6250
Hg 0.6250 0.1249 0.6250
Hg 0.6250 0.6250 0.1249
Hg 0.6250 0.6250 0.6250

- total moment (Bohr magnetons per cell) = 7.36
- total energy (eV/atom) = -2.92
- SG = F-43m
- calculated formation energy (eV per atom) = -0.147

=====

Record 9
Below is a geometry-optimized Tb2In3Pd7 structure, with properties calculated at the PBE level.

Unit cell a=4.8713 b=4.6206 c=11.2163 alpha=90.00 beta=102.53 gamma=90.00
Sites, in units of the cell vectors:
Tb 0.1530 0.0000 0.3057
Tb 0.8470 0.0000 0.6943
In 0.0000 0.0000 0.0000
In 0.3592 0.5000 0.7185
In 0.6408 0.5000 0.2815
Pd 0.0710 0.5000 0.1432
Pd 0.2858 0.0000 0.5721
Pd 0.4308 0.0000 0.8597
Pd 0.5000 0.5000 0.0000
Pd 0.5692 0.0000 0.1403
Pd 0.7142 0.0000 0.4279
Pd 0.9290 0.5000 0.8568

- total moment (Bohr magnetons per cell) = 0.00
- total energy (eV/atom) = -5.03
- SG = P2/m
- calculated formation energy (eV per atom) = -0.543

=====

Record 10
Below is a geometry-optimized PmSi2Pd3 structure, with properties calculated at the PBE level.

Unit cell a=8.4514 b=8.4514 c=9.9692 alpha=108.08 beta=108.08 gamma=27.60
Sites, in units of the cell vectors:
Pm 0.0000 0.0000 0.0000
Pm 0.1534 0.1534 0.6935
Pm 0.8466 0.8466 0.3065
Si 0.2002 0.2002 0.1313
Si 0.3637 0.3637 0.5520
Si 0.4654 0.4654 0.2230
Si 0.5346 0.5346 0.7770
Si 0.6363 0.6363 0.4480
Si 0.7998 0.7998 0.8687
Pd 0.0426 0.0426 0.3326
Pd 0.2206 0.2206 0.3931
Pd 0.3219 0.3219 0.0388
Pd 0.3732 0.3732 0.7988
Pd 0.5000 0.5000 0.5000
Pd 0.6268 0.6268 0.2012
Pd 0.6781 0.6781 0.9612
Pd 0.7794 0.7794 0.6069
Pd 0.9574 0.9574 0.6674

- total moment (Bohr magnetons per cell) = 0.00
- total energy (eV/atom) = -6.08
- SG = C2/m
- uncorrected formation energy (eV/atom) = -0.89

=====

Record 11
Below is a geometry-optimized Tb6NdY4 structure, with properties calculated at the PBE level.

Unit cell a=8.4631 b=8.4631 c=8.4631 alpha=126.14 beta=126.14 gamma=79.65
Sites, in units of the cell vectors:
Tb 0.0000 0.5000 0.5000
Tb 0.0730 0.0730 0.5177
Tb 0.4447 0.9270 0.0000
Tb 0.5000 0.0000 0.5000
Tb 0.5553 0.5553 0.4823
Tb 0.9270 0.4447 0.0000
Nd 0.5000 0.5000 0.0000
Y 0.0879 0.7553 0.0000
Y 0.2447 0.2447 0.3326
Y 0.7553 0.0879 0.0000
Y 0.9121 0.9121 0.6674

- total moment (Bohr magnetons per cell) = 0.00
- total energy (eV/atom) = -4.87
- SG = I-42m
- calculated formation energy (eV per atom) = 0.439

=====

Record 12
Below is a geometry-optimized NaPdAuSCl structure, with properties calculated at the PBE level.

Unit cell a=3.9917 b=3.6828 c=7.5459 alpha=90.00 beta=94.54 gamma=90.00
Sites, in units of the cell vectors:
Na 0.0000 0.0000 0.0000
Pd 0.7356 0.5000 0.4111
Au 0.3376 0.0000 0.5542
S 0.0284 0.5000 0.6780
Cl 0.5188 0.5000 0.1034

- total moment (Bohr magnetons per cell) = 0.00
- total energy (eV/atom) = -3.70
- SG = Pm
- uncorrected formation energy (eV/atom) = -0.55

=====

Please write out number 9 again, unchanged.
Below is a geometry-optimized Tb2In3Pd7 structure, with properties calculated at the PBE level.

Unit cell a=4.8713 b=4.6206 c=11.2163 alpha=90.00 beta=102.53 gamma=90.00
Sites, in units of the cell vectors:
Tb 0.1530 0.0000 0.3057
Tb 0.8470 0.0000 0.6943
In 0.0000 0.0000 0.0000
In 0.3592 0.5000 0.7185
In 0.6408 0.5000 0.2815
Pd 0.0710 0.5000 0.1432
Pd 0.2858 0.0000 0.5721
Pd 0.4308 0.0000 0.8597
Pd 0.5000 0.5000 0.0000
Pd 0.5692 0.0000 0.1403
Pd 0.7142 0.0000 0.4279
Pd 0.9290 0.5000 0.8568

- total moment (Bohr magnetons per cell) = 0.00
- total energy (eV/atom) = -5.03
- SG = P2/m
- calculated formation energy (eV per atom) = -0.543

=====

Copy entry 5 word for word.
Below is a geometry-optimized CdSb2Pb8 structure, with properties calculated at the PBE level.

Unit cell a=9.5170 b=9.5170 c=6.1204 alpha=107.88 beta=107.88 gamma=42.61
Sites, in units of the cell vectors:
Cd 0.0000 0.0000 0.0000
Sb 0.1638 0.1638 0.8805
Sb 0.8362 0.8362 0.1195
Pb 0.1778 0.6603 0.5733
Pb 0.2449 0.2449 0.4500
Pb 0.3397 0.8222 0.4267
Pb 0.3577 0.3577 0.0361
Pb 0.6423 0.6423 0.9639
Pb 0.6603 0.1778 0.5733
Pb 0.7551 0.7551 0.5500
Pb 0.8222 0.3397 0.4267

- total moment (Bohr magnetons per cell) = 0.00
- total energy (eV/atom) = -3.44
- SG = C2/m
- uncorrected formation energy (eV/atom) = 0.09

=====

Q: What is the total moment in the seventh record?
A: 0.00 Bohr magnetons per cell

=====

Q: Which value of total energy does entry 3 give?
A: -1.86 eV/atom